## SmDy7Er5 (PBE)

Data for crystalline SmDy7Er5 at its relaxed geometry.

Values from the calculation:
E_form = 0.25 eV/atom
DFT total energy = -56.5 eV per formula unit
total moment = 0.00 μB per cell

Cell lengths 8.6408, 8.6408, 8.6408 Å; angles 134.61, 100.53, 96.60 degrees
Atoms (fractional coordinates):
Sm (0.0000, 0.0000, 0.0000)
Dy (0.2243, 0.5526, 0.6718)
Dy (0.3038, 0.8038, 0.5000)
Dy (0.3054, 0.3054, 0.0000)
Dy (0.3830, 0.0543, 0.3286)
Dy (0.6116, 0.6116, 0.0000)
Dy (0.7257, 0.0543, 0.6714)
Dy (0.8808, 0.5526, 0.3282)
Er (0.0320, 0.0365, 0.4622)
Er (0.0320, 0.5698, 0.9956)
Er (0.5743, 0.0365, 0.0044)
Er (0.5743, 0.5698, 0.5378)
Er (0.8024, 0.3024, 0.5000)

## SmDy3Er4 (PBE)

Data for crystalline SmDy3Er4 at its relaxed geometry.

Values from the calculation:
E_form = 0.22 eV/atom
DFT total energy = -35.0 eV per formula unit
ΔE to the lowest computed polymorph = 209 meV/atom
total moment = 0.00 μB per cell

Cell lengths 13.3385, 13.3385, 3.5272 Å; angles 90.00, 90.00, 155.76 degrees
Atoms (fractional coordinates):
Sm (0.0000, 0.0000, 0.0000)
Dy (0.3436, 0.6564, 0.0000)
Dy (0.5000, 0.5000, 0.5000)
Dy (0.6564, 0.3436, 0.0000)
Er (0.1047, 0.8953, 0.5000)
Er (0.2236, 0.7764, 0.5000)
Er (0.7764, 0.2236, 0.5000)
Er (0.8953, 0.1047, 0.5000)

## Sm5DyEr4 (PBE)

Data for crystalline Sm5DyEr4 at its relaxed geometry.

Values from the calculation:
E_form = 0.04 eV/atom
DFT total energy = -46.1 eV per formula unit
ΔE to the lowest computed polymorph = 0 meV/atom
total moment = 0.00 μB per cell

Cell lengths 8.6913, 8.6913, 11.3796 Å; angles 108.53, 108.53, 23.50 degrees
Atoms (fractional coordinates):
Sm (0.0000, 0.0000, 0.0000)
Sm (0.2896, 0.2896, 0.3845)
Sm (0.3110, 0.3110, 0.9228)
Sm (0.6890, 0.6890, 0.0772)
Sm (0.7104, 0.7104, 0.6155)
Dy (0.0000, 0.0000, 0.5000)
Er (0.1048, 0.1048, 0.7954)
Er (0.4179, 0.4179, 0.7068)
Er (0.5821, 0.5821, 0.2932)
Er (0.8952, 0.8952, 0.2046)

Question: Which value of DFT total energy does entry 1 give?
Answer: -56.5 eV per formula unit